ZrBeIN2 | PBE-GGA | relaxed

Results
As for the space-group type: No. 123. The energy relative to the lowest polymorph listed for this composition is 1.68 eV/f.u. Its crystal system is tetragonal. For the uncorrected formation energy, the calculation gives 1051 meV per atom.

a b c (Å): 3.912 3.912 4.713
angles (deg): 90.00 90.00 90.00
Sites, in units of the cell vectors:
Zr 0.000 0.000 0.000
Be 0.500 0.500 0.500
I 0.500 0.500 0.000
N 0.000 0.500 0.500
N 0.500 0.000 0.500

=====

ZrBeI2N | PBE-GGA | relaxed

Results
As for the space-group type: No. 123. The energy relative to the lowest polymorph listed for this composition is 0.09 eV/f.u. Its crystal system is tetragonal. For the uncorrected formation energy, the calculation gives 345 meV per atom.

a b c (Å): 5.448 5.448 3.330
angles (deg): 90.00 90.00 90.00
Sites, in units of the cell vectors:
Zr 0.000 0.000 0.000
Be 0.500 0.500 0.500
I 0.000 0.500 0.500
I 0.500 0.000 0.500
N 0.500 0.500 0.000